DFT (GGA-PBE) results for a relaxed structure of Ho3Al8Ag3.

Output
energy = -4.10 eV/atom
spin magnetization = 0.000 μB per cell
energy of formation = -0.37 eV/atom

```
Ho3Al8Ag3
1.0
4.390 0.000 0.000
2.195 8.024 -0.024
2.195 2.161 7.728
Al Ho Ag
8 3 3
direct
0.364 0.352 0.920 Al
0.636 0.080 0.648 Al
0.841 0.526 0.792 Al
0.841 0.792 0.526 Al
0.364 0.920 0.352 Al
0.159 0.474 0.208 Al
0.159 0.208 0.474 Al
0.636 0.648 0.080 Al
0.798 0.202 0.202 Ho
0.500 0.500 0.500 Ho
0.202 0.798 0.798 Ho
0.000 0.801 0.199 Ag
0.500 0.000 0.000 Ag
0.000 0.199 0.801 Ag
```